[1]
Entry from Alexandria: a relaxed SrScPb2 crystal (GGA-PBEsol).

The structure in POSCAR format:
```
SrScPb2
1.0
-0.2163 1.6407 -3.1430
-2.9121 1.8525 -0.8397
3.4349 10.2019 3.0821
Sc Sr Pb
1 1 2
Direct
0.4925 0.4925 0.5224
0.2501 0.2501 0.2497
0.7526 0.7526 0.7422
0.0048 0.0048 0.9857
```

Summary:
DOS at the Fermi energy: 4.56 states/eV/f.u.
VASP energy: -16.22 eV for the cell shown
ΔE_f: 0.055 eV per atom

[2]
Entry from Alexandria: a relaxed Ga2SiAsF crystal (GGA-PBEsol).

The structure in POSCAR format:
```
Ga2SiAsF
1.0
4.5028 0.0000 0.0000
0.0000 4.5028 0.0000
0.0000 0.0000 4.4967
As Ga Si F
1 2 1 1
Direct
0.0000 0.0000 0.5000
0.5000 0.0000 0.0000
0.0000 0.5000 0.0000
0.5000 0.5000 0.5000
0.0000 0.0000 0.0000
```

Summary:
DOS at the Fermi energy: 1.81 states/eV/f.u.
VASP energy: -19.16 eV for the cell shown
ΔE_f (raw): 0.30 eV/f.u.

[3]
Entry from Alexandria: a relaxed Li5VCr3O8 crystal (GGA-PBEsol).

The structure in POSCAR format:
```
Li5VCr3O8
1.0
-0.6816 5.5891 -1.6158
-1.1934 -4.3093 -3.7842
-9.1496 -0.2118 3.1268
Cr O V Li
6 16 2 10
Direct
0.1681 0.8319 0.7264
0.3363 0.1681 0.2264
0.8319 0.6637 0.2264
0.1681 0.3363 0.7264
0.6637 0.8319 0.7264
0.8319 0.1681 0.2264
0.1630 0.8370 0.1079
0.1630 0.3260 0.1079
0.3260 0.1630 0.6079
0.0195 0.5098 0.8468
0.6740 0.8370 0.1079
0.8370 0.6740 0.6079
0.0000 0.0000 0.8369
0.4902 0.9805 0.8468
0.9805 0.4902 0.3468
0.8370 0.1630 0.6079
0.6667 0.3333 0.1118
0.4902 0.5098 0.8468
0.0000 0.0000 0.3369
0.3333 0.6667 0.6118
0.5098 0.0195 0.3468
0.5098 0.4902 0.3468
0.3333 0.6667 0.9884
0.6667 0.3333 0.4884
0.8048 0.6097 0.9553
0.1952 0.3903 0.4553
0.8048 0.1952 0.9553
0.6097 0.8048 0.4553
0.1952 0.8048 0.4553
0.0000 0.0000 0.5284
0.0000 0.0000 0.0284
0.3903 0.1952 0.9553
0.6667 0.3333 0.7400
0.3333 0.6667 0.2400
```

Summary:
DOS at the Fermi energy: 5.60 states/eV/f.u.
Energy above the lowest structure with this stoichiometry: 0 meV/atom
VASP energy: -249.13 eV for the cell shown
ΔE_f (raw): -32.38 eV/f.u.

[4]
Entry from Alexandria: a relaxed NaErSe2 crystal (GGA-PBEsol).

The structure in POSCAR format:
```
NaErSe2
1.0
-0.3625 -1.7157 -3.6491
-1.6242 -3.6921 -0.3486
-6.9170 1.0153 -2.0361
Se Er Na
2 1 1
Direct
0.2571 0.2571 0.2287
0.7429 0.7429 0.7713
0.0000 0.0000 0.0000
0.5000 0.5000 0.5000
```

Summary:
DOS at the Fermi energy: 0.00 states/eV/f.u.
VASP energy: -20.81 eV for the cell shown
ΔE_f (raw): -6.79 eV/f.u.

[5]
Entry from Alexandria: a relaxed MgScCd3 crystal (GGA-PBEsol).

The structure in POSCAR format:
```
MgScCd3
1.0
5.0016 0.0000 0.0000
0.0000 5.0016 0.0000
0.0000 0.0000 5.0016
Sc Mg Cd
1 1 3
Direct
0.5000 0.5000 0.5000
0.0000 0.0000 0.0000
0.0000 0.0000 0.5000
0.5000 0.0000 0.0000
0.0000 0.5000 0.0000
```

Summary:
DOS at the Fermi energy: 3.03 states/eV/f.u.
VASP energy: -9.57 eV for the cell shown
ΔE_f: 0.468 eV per atom

[6]
Entry from Alexandria: a relaxed LaTlIn2 crystal (GGA-PBEsol).

The structure in POSCAR format:
```
LaTlIn2
1.0
3.4466 0.0000 0.0000
1.7233 2.9849 0.0000
1.7233 0.9950 10.5251
La Tl In
1 1 2
Direct
0.4993 0.4993 0.5022
0.2547 0.2547 0.2359
0.0009 0.0009 0.9973
0.7451 0.7451 0.7646
```

Summary:
DOS at the Fermi energy: 2.87 states/eV/f.u.
VASP energy: -14.55 eV for the cell shown
ΔE_f: -0.151 eV per atom

[7]
Entry from Alexandria: a relaxed Zr2CoP crystal (GGA-PBEsol).

The structure in POSCAR format:
```
Zr2CoP
1.0
-2.3893 2.6951 0.0825
-1.3867 -1.3770 4.8245
5.4914 4.8623 0.1955
Co Zr P
2 4 2
Direct
0.2500 0.6479 0.2913
0.7500 0.3521 0.7087
0.2500 0.7072 0.9191
0.7500 0.7746 0.5638
0.2500 0.2254 0.4362
0.7500 0.2928 0.0809
0.2500 0.1425 0.7894
0.7500 0.8575 0.2106
```

Summary:
DOS at the Fermi energy: 3.63 states/eV/f.u.
Energy above the lowest structure with this stoichiometry: 0 meV/atom
VASP energy: -71.49 eV for the cell shown
ΔE_f: -1.010 eV per atom

[8]
Entry from Alexandria: a relaxed AlCo3 crystal (GGA-PBEsol).

The structure in POSCAR format:
```
AlCo3
1.0
4.0388 0.0000 0.0000
0.0000 4.9977 0.0000
0.0000 -2.4988 4.3281
Al Co
2 6
Direct
0.7500 0.6667 0.3333
0.2500 0.3333 0.6667
0.7500 0.6698 0.8349
0.7500 0.1651 0.8349
0.7500 0.1651 0.3302
0.2500 0.3302 0.1651
0.2500 0.8349 0.1651
0.2500 0.8349 0.6698
```

Summary:
DOS at the Fermi energy: 4.51 states/eV/f.u.
VASP energy: -56.25 eV for the cell shown
ΔE_f: -0.206 eV per atom

[9]
Entry from Alexandria: a relaxed KHgOs2C crystal (GGA-PBEsol).

The structure in POSCAR format:
```
KHgOs2C
1.0
-0.2379 0.7272 3.9321
-3.9865 0.2655 -0.2902
-0.4464 -5.5995 1.0086
Os Hg K C
2 1 1 1
Direct
0.0000 0.5000 0.0000
0.5000 0.0000 0.0000
0.0000 0.0000 0.5000
0.5000 0.5000 0.5000
0.0000 0.0000 0.0000
```

Summary:
DOS at the Fermi energy: 3.85 states/eV/f.u.
VASP energy: -30.36 eV for the cell shown
ΔE_f: 1.084 eV per atom

[10]
Entry from Alexandria: a relaxed ScSiMo2 crystal (GGA-PBEsol).

The structure in POSCAR format:
```
ScSiMo2
1.0
3.2679 0.0000 0.0000
0.0000 4.3540 -0.2036
-1.6339 -1.4253 4.4939
Mo Sc Si
2 1 1
Direct
0.2456 0.2268 0.4911
0.7544 0.7732 0.5089
0.0000 0.5000 0.0000
0.5000 0.0000 0.0000
```

Summary:
DOS at the Fermi energy: 3.23 states/eV/f.u.
VASP energy: -36.35 eV for the cell shown
ΔE_f (raw): -0.46 eV/f.u.

[11]
Entry from Alexandria: a relaxed SiAsOsSe2 crystal (GGA-PBEsol).

The structure in POSCAR format:
```
SiAsOsSe2
1.0
4.5205 0.0000 0.0000
0.0000 4.5425 0.0000
0.0000 0.0000 4.5425
Os Se As Si
1 2 1 1
Direct
0.5000 0.5000 0.5000
0.0000 0.0000 0.5000
0.0000 0.5000 0.0000
0.5000 0.0000 0.0000
0.0000 0.0000 0.0000
```

Summary:
DOS at the Fermi energy: 2.27 states/eV/f.u.
VASP energy: -24.44 eV for the cell shown
ΔE_f (raw): 6.32 eV/f.u.

[12]
Entry from Alexandria: a relaxed CaMg2P crystal (GGA-PBEsol).

The structure in POSCAR format:
```
CaMg2P
1.0
-0.6041 -2.7614 2.8965
4.5386 1.6672 2.5361
-4.7814 2.3336 1.2275
Mg Ca P
2 1 1
Direct
0.0000 0.8312 0.6691
0.0000 0.1688 0.3309
0.5000 0.5000 0.0000
0.5000 0.0000 0.5000
```

Summary:
DOS at the Fermi energy: 2.59 states/eV/f.u.
VASP energy: -12.94 eV for the cell shown
ΔE_f: -0.394 eV per atom